(1)
Tm2TcAg | PBE-GGA | relaxed

Unit cell a=3.4340 b=3.4340 c=7.2379 alpha=90.00 beta=90.00 gamma=90.00
Closest atoms and distances in Å follow each position.
Atoms (fractional coordinates):
Tm: 0.0000 0.0000 0.2230  4 Tc 2.92, 4 Ag 3.15, 1 Tm 3.23
Tm: 0.0000 0.0000 0.7770  4 Tc 2.92, 4 Ag 3.15, 1 Tm 3.23
Tc: 0.5000 0.5000 0.0000  8 Tm 2.92
Ag: 0.5000 0.5000 0.5000  8 Tm 3.15, 4 Ag 3.43

Properties
DOS(E_F) in states/eV/f.u.: 2.6
Formation enthalpy at 0 K in kJ per mole of atoms: -24.1
Raw total energy in hartree per atom: -0.2128

(2)
Tm2TcAg | PBE-GGA | relaxed

Unit cell a=6.9255 b=6.9326 c=6.9497 alpha=90.00 beta=90.00 gamma=90.00
Closest atoms and distances in Å follow each position.
Atoms (fractional coordinates):
Tm: 0.2500 0.2500 0.2500  4 Tc 3.00, 4 Ag 3.00
Tm: 0.2500 0.2500 0.7500  4 Tc 3.00, 4 Ag 3.00
Tm: 0.2500 0.7500 0.2500  4 Tc 3.00, 4 Ag 3.00
Tm: 0.2500 0.7500 0.7500  4 Tc 3.00, 4 Ag 3.00
Tm: 0.7500 0.2500 0.2500  4 Tc 3.00, 4 Ag 3.00
Tm: 0.7500 0.2500 0.7500  4 Tc 3.00, 4 Ag 3.00
Tm: 0.7500 0.7500 0.2500  4 Tc 3.00, 4 Ag 3.00
Tm: 0.7500 0.7500 0.7500  4 Tc 3.00, 4 Ag 3.00
Tc: 0.0000 0.0000 0.0000  8 Tm 3.00
Tc: 0.0000 0.5000 0.5000  8 Tm 3.00
Tc: 0.5000 0.0000 0.5000  8 Tm 3.00
Tc: 0.5000 0.5000 0.0000  8 Tm 3.00
Ag: 0.0000 0.0000 0.5000  8 Tm 3.00
Ag: 0.0000 0.5000 0.0000  8 Tm 3.00
Ag: 0.5000 0.0000 0.0000  8 Tm 3.00
Ag: 0.5000 0.5000 0.5000  8 Tm 3.00

Properties
DOS(E_F) in states/eV/f.u.: 1.9
Formation enthalpy at 0 K in kJ per mole of atoms: -16.9
Raw total energy in hartree per atom: -0.2100

(3)
Tm5TcAg2 | PBE-GGA | relaxed

Unit cell a=6.5072 b=11.9648 c=4.9402 alpha=90.00 beta=90.00 gamma=90.00
Closest atoms and distances in Å follow each position.
Atoms (fractional coordinates):
Tm: 0.0000 0.0000 0.0000  4 Ag 3.09, 2 Tc 3.25
Tm: 0.1403 0.2851 0.0000  1 Tc 2.73, 2 Ag 3.05
Tm: 0.1648 0.6001 0.5000  2 Tc 2.95, 3 Ag 3.02-3.18, 1 Tm 3.22
Tm: 0.3352 0.1001 0.5000  2 Tc 2.95, 3 Ag 3.02-3.18, 1 Tm 3.22
Tm: 0.3597 0.7851 0.0000  1 Tc 2.73, 2 Ag 3.05
Tm: 0.5000 0.5000 0.0000  4 Ag 3.09, 2 Tc 3.25
Tm: 0.6403 0.2149 0.0000  1 Tc 2.73, 2 Ag 3.05
Tm: 0.6648 0.8999 0.5000  2 Tc 2.95, 3 Ag 3.02-3.18, 1 Tm 3.22
Tm: 0.8352 0.3999 0.5000  2 Tc 2.95, 3 Ag 3.02-3.18, 1 Tm 3.22
Tm: 0.8597 0.7149 0.0000  1 Tc 2.73, 2 Ag 3.05
Tc: 0.0000 0.5000 0.0000  6 Tm 2.73-2.95
Tc: 0.5000 0.0000 0.0000  6 Tm 2.73-2.95
Ag: 0.1230 0.8603 0.5000  7 Tm 3.02-3.18
Ag: 0.3770 0.3603 0.5000  7 Tm 3.02-3.18
Ag: 0.6230 0.6397 0.5000  7 Tm 3.02-3.18
Ag: 0.8770 0.1397 0.5000  7 Tm 3.02-3.18

Properties
DOS(E_F) in states/eV/f.u.: 6.4
Formation enthalpy at 0 K in kJ per mole of atoms: -19.0
Raw total energy in hartree per atom: -0.1838

(4)
Tm6TcAg5 | PBE-GGA | relaxed

Unit cell a=7.9441 b=7.9441 c=7.1019 alpha=90.00 beta=90.00 gamma=143.08
Closest atoms and distances in Å follow each position.
Atoms (fractional coordinates):
Tm: 0.0000 0.0000 0.2355  2 Tc 3.02, 6 Ag 3.03-3.15, 1 Tm 3.35
Tm: 0.0000 0.0000 0.7645  2 Tc 3.02, 6 Ag 3.03-3.15, 1 Tm 3.35
Tm: 0.3405 0.6595 0.2421  1 Tc 2.96, 7 Ag 3.02-3.18
Tm: 0.3405 0.6595 0.7579  1 Tc 2.96, 7 Ag 3.02-3.18
Tm: 0.6595 0.3405 0.2421  1 Tc 2.96, 7 Ag 3.02-3.18
Tm: 0.6595 0.3405 0.7579  1 Tc 2.96, 7 Ag 3.02-3.18
Tc: 0.5000 0.5000 0.0000  8 Tm 2.96-3.02
Ag: 0.1679 0.8321 0.0000  8 Tm 3.03-3.12
Ag: 0.1680 0.8320 0.5000  8 Tm 3.11-3.18
Ag: 0.5000 0.5000 0.5000  8 Tm 3.02-3.14
Ag: 0.8321 0.1679 0.0000  8 Tm 3.03-3.12
Ag: 0.8320 0.1680 0.5000  8 Tm 3.11-3.18

Properties
DOS(E_F) in states/eV/f.u.: 8.6
Formation enthalpy at 0 K in kJ per mole of atoms: -28.9
Raw total energy in hartree per atom: -0.1686